Computed, not measured: LaPmMgIn after structural relaxation at the PBE-GGA level of DFT.

Density ... 5.92 g cm⁻³
D(E_F) ... 15.7 states/eV/cell
E_form ... -0.3344 eV/atom
Total moment ... 0.0 Bohr magnetons per cell

CIF file:
```
data_LaPmMgIn
_chemical_formula_sum 'La4 Pm4 Mg4 In4'
_symmetry_space_group_name_H-M 'P 1'
_symmetry_Int_Tables_number 1
_cell_length_a 7.802
_cell_length_b 7.802
_cell_length_c 7.802
_cell_angle_alpha 90.00
_cell_angle_beta 90.00
_cell_angle_gamma 90.00
loop_
_symmetry_equiv_pos_as_xyz
'x,y,z'
loop_
_atom_site_label
_atom_site_type_symbol
_atom_site_fract_x
_atom_site_fract_y
_atom_site_fract_z
La1 La 0.000 0.000 0.000
La2 La 0.000 0.500 0.500
La3 La 0.500 0.000 0.500
La4 La 0.500 0.500 0.000
Pm1 Pm 0.000 0.000 0.500
Pm2 Pm 0.000 0.500 0.000
Pm3 Pm 0.500 0.000 0.000
Pm4 Pm 0.500 0.500 0.500
Mg1 Mg 0.250 0.250 0.250
Mg2 Mg 0.250 0.750 0.750
Mg3 Mg 0.750 0.250 0.750
Mg4 Mg 0.750 0.750 0.250
In1 In 0.250 0.250 0.750
In2 In 0.250 0.750 0.250
In3 In 0.750 0.250 0.250
In4 In 0.750 0.750 0.750
```